# GGA-PBE Na3USn2Se6, optimized geometry
# uncorrected formation energy	-0.9561	eV/atom
# crystal system	monoclinic
# energy	-4.64	eV/atom
# mass density	5.2	Mg/m³
data_Na3USn2Se6
_cell_length_a 7.425
_cell_length_b 7.425
_cell_length_c 7.266
_cell_angle_alpha 99.88
_cell_angle_beta 99.88
_cell_angle_gamma 120.05
_symmetry_space_group_name_H-M 'P 1'
_symmetry_Int_Tables_number 1
loop_
_symmetry_equiv_pos_as_xyz
'x,y,z'
loop_
_atom_site_label
_atom_site_type_symbol
_atom_site_fract_x
_atom_site_fract_y
_atom_site_fract_z
Na1 Na 0.000 0.000 0.000
Na2 Na 0.327 0.673 0.000
Na3 Na 0.673 0.327 0.000
U1 U 0.500 0.500 0.500
Sn1 Sn 0.165 0.835 0.500
Sn2 Sn 0.835 0.165 0.500
Se1 Se 0.112 0.423 0.270
Se2 Se 0.266 0.266 0.727
Se3 Se 0.423 0.112 0.270
Se4 Se 0.577 0.888 0.730
Se5 Se 0.734 0.734 0.273
Se6 Se 0.888 0.577 0.730

# GGA-PBE Na2USnSe5, optimized geometry
# uncorrected formation energy	-0.8660	eV/atom
# crystal system	orthorhombic
# energy	-4.79	eV/atom
# mass density	5.2	Mg/m³
data_Na2USnSe5
_cell_length_a 8.995
_cell_length_b 8.995
_cell_length_c 13.890
_cell_angle_alpha 90.00
_cell_angle_beta 90.00
_cell_angle_gamma 153.08
_symmetry_space_group_name_H-M 'P 1'
_symmetry_Int_Tables_number 1
loop_
_symmetry_equiv_pos_as_xyz
'x,y,z'
loop_
_atom_site_label
_atom_site_type_symbol
_atom_site_fract_x
_atom_site_fract_y
_atom_site_fract_z
Na1 Na 0.095 0.905 0.500
Na2 Na 0.128 0.872 0.148
Na3 Na 0.872 0.128 0.648
Na4 Na 0.905 0.095 0.000
U1 U 0.229 0.771 0.868
U2 U 0.771 0.229 0.368
Sn1 Sn 0.460 0.540 0.272
Sn2 Sn 0.540 0.460 0.772
Se1 Se 0.064 0.936 0.895
Se2 Se 0.270 0.730 0.501
Se3 Se 0.300 0.700 0.234
Se4 Se 0.379 0.621 0.831
Se5 Se 0.496 0.504 0.597
Se6 Se 0.504 0.496 0.097
Se7 Se 0.621 0.379 0.331
Se8 Se 0.700 0.300 0.734
Se9 Se 0.730 0.270 0.001
Se10 Se 0.936 0.064 0.395

# GGA-PBE NaY2Sn3Se6, optimized geometry
# uncorrected formation energy	-1.0101	eV/atom
# crystal system	monoclinic
# energy	-4.94	eV/atom
# mass density	5.2	Mg/m³
data_NaY2Sn3Se6
_cell_length_a 9.499
_cell_length_b 9.499
_cell_length_c 8.426
_cell_angle_alpha 103.50
_cell_angle_beta 103.50
_cell_angle_gamma 26.34
_symmetry_space_group_name_H-M 'P 1'
_symmetry_Int_Tables_number 1
loop_
_symmetry_equiv_pos_as_xyz
'x,y,z'
loop_
_atom_site_label
_atom_site_type_symbol
_atom_site_fract_x
_atom_site_fract_y
_atom_site_fract_z
Na1 Na 0.000 0.000 0.000
Y1 Y 0.333 0.333 0.668
Y2 Y 0.667 0.667 0.332
Sn1 Sn 0.000 0.000 0.500
Sn2 Sn 0.341 0.341 0.144
Sn3 Sn 0.659 0.659 0.856
Se1 Se 0.170 0.170 0.568
Se2 Se 0.174 0.174 0.096
Se3 Se 0.490 0.490 0.746
Se4 Se 0.510 0.510 0.254
Se5 Se 0.826 0.826 0.904
Se6 Se 0.830 0.830 0.432

# GGA-PBE NaYSn2Se4, optimized geometry
# uncorrected formation energy	-1.0062	eV/atom
# crystal system	monoclinic
# energy	-4.72	eV/atom
# mass density	5.1	Mg/m³
data_NaYSn2Se4
_cell_length_a 7.283
_cell_length_b 4.221
_cell_length_c 7.395
_cell_angle_alpha 90.00
_cell_angle_beta 108.47
_cell_angle_gamma 90.00
_symmetry_space_group_name_H-M 'P 1'
_symmetry_Int_Tables_number 1
loop_
_symmetry_equiv_pos_as_xyz
'x,y,z'
loop_
_atom_site_label
_atom_site_type_symbol
_atom_site_fract_x
_atom_site_fract_y
_atom_site_fract_z
Na1 Na 0.000 0.000 0.000
Y1 Y 0.500 0.500 0.000
Sn1 Sn 0.000 0.500 0.500
Sn2 Sn 0.500 0.000 0.500
Se1 Se 0.260 0.500 0.243
Se2 Se 0.263 0.000 0.764
Se3 Se 0.737 0.000 0.236
Se4 Se 0.740 0.500 0.757